The following is a DFT calculation (PBE) of a relaxed BaSc2Sn crystal.

Lattice parameters (Å, degrees): 4.841 4.841 21.557 90.00 90.00 90.00
Space group I-42d (No. 122)
Asymmetric unit:
Ba 0.000 0.000 0.000
Sc 0.201 0.250 0.625
Sn 0.000 0.000 0.500

Computed properties:
Volume ... 505.2 Å³/cell
Density of states at the Fermi level ... 6.3 states/eV/cell
Formation energy from the elements ... 0.1377 eV/atom
E_tot ... -4.509 eV/atom

=====

The following is a DFT calculation (PBE) of a relaxed ScBe2Al crystal.

Lattice parameters (Å, degrees): 2.7906 2.7906 25.9501 90.00 90.00 120.00
Space group R-3m (No. 166, hexagonal axes)
Asymmetric unit:
Sc 0.0000 0.0000 0.0000
Be 0.0000 0.0000 0.2442
Al 0.0000 0.0000 0.5000

Computed properties:
Volume ... 175.0 Å³/cell
Density of states at the Fermi level ... 6.6 states/eV/cell
Formation energy from the elements ... 0.4018 eV/atom
E_tot ... -3.980 eV/atom

=====

The following is a DFT calculation (PBE) of a relaxed Pm6NdPb4 crystal.

Lattice parameters (Å, degrees): 9.9120 9.9120 4.3243 90.00 90.00 120.00
Space group P-6m2 (No. 187)
Asymmetric unit:
Pm 0.1969 0.3938 0.0000
Pm 0.5400 0.0800 0.5000
Nd 0.0000 0.0000 0.5000
Pb 0.3288 0.1644 0.0000
Pb 0.3333 0.6667 0.5000

Computed properties:
Volume ... 367.9 Å³/cell
Density of states at the Fermi level ... 10.6 states/eV/cell
Formation energy from the elements ... -0.3923 eV/atom
E_tot ... -4.765 eV/atom

=====

The following is a DFT calculation (PBE) of a relaxed AcPm2CoAg crystal.

Lattice parameters (Å, degrees): 5.274 5.274 5.658 90.00 90.00 90.00
Space group P4mm (No. 99)
Asymmetric unit:
Ac 0.000 0.000 0.000
Pm 0.000 0.500 0.480
Co 0.000 0.000 0.519
Ag 0.500 0.500 0.107

Computed properties:
Volume ... 157.3 Å³/cell
Density of states at the Fermi level ... 4.5 states/eV/cell
Formation energy from the elements ... 0.0110 eV/atom
E_tot ... -4.702 eV/atom

=====

Which of these has the highest formation energy from the elements?
ScBe2Al